Record 1
! TcHg2Pt (GGA-PBE, relaxed); values from VASP
&SYSTEM
  ibrav = 0, nat = 4, ntyp = 3
/
ATOMIC_SPECIES
Hg 200.59 Hg.upf
Tc 98.00 Tc.upf
Pt 195.08 Pt.upf
CELL_PARAMETERS angstrom
4.509 0.744 1.030
1.475 4.312 1.084
1.262 1.008 4.397
ATOMIC_POSITIONS angstrom
Hg 5.434 4.547 4.883
Hg 1.811 1.516 1.628
Tc 0.000 0.000 0.000
Pt 3.623 3.032 3.256
! SG: Fm-3m
! Formation energy from the elements in eV per atom: 0.498

=====

Record 2
! NaYP3 (GGA-PBE, relaxed); values from VASP
&SYSTEM
  ibrav = 0, nat = 5, ntyp = 3
/
ATOMIC_SPECIES
P 30.97 P.upf
Na 22.99 Na.upf
Y 88.91 Y.upf
CELL_PARAMETERS angstrom
5.301 0.000 0.000
0.000 5.301 0.000
0.000 0.000 5.301
ATOMIC_POSITIONS angstrom
P 0.000 2.650 0.000
P 2.650 0.000 0.000
P 0.000 0.000 2.650
Na 2.650 2.650 2.650
Y 0.000 0.000 0.000
! SG: Pm-3m
! Formation energy from the elements in eV per atom: 0.249

=====

Record 3
! ZrMnBr (GGA-PBE, relaxed); values from VASP
&SYSTEM
  ibrav = 0, nat = 6, ntyp = 3
/
ATOMIC_SPECIES
Zr 91.22 Zr.upf
Br 79.90 Br.upf
Mn 54.94 Mn.upf
CELL_PARAMETERS angstrom
0.239 -1.566 -3.343
-0.381 -2.116 3.010
-11.352 2.287 0.117
ATOMIC_POSITIONS angstrom
Zr -7.725 0.173 1.390
Zr -3.769 -1.568 -1.606
Br -2.075 -1.841 0.690
Br -9.419 0.446 -0.905
Mn -5.423 0.258 -0.532
Mn -6.071 -1.652 0.317
! SG: C2/m
! Raw formation energy in eV per atom: -0.717

=====

Record 4
! PrEr7Tl2 (GGA-PBE, relaxed); values from VASP
&SYSTEM
  ibrav = 0, nat = 10, ntyp = 3
/
ATOMIC_SPECIES
Er 167.26 Er.upf
Pr 140.91 Pr.upf
Tl 204.38 Tl.upf
CELL_PARAMETERS angstrom
5.466 0.000 0.000
0.000 8.855 -0.148
0.000 -4.040 7.882
ATOMIC_POSITIONS angstrom
Er 2.733 2.364 7.313
Er 2.733 -0.705 2.386
Er 0.000 5.851 1.723
Er 2.733 5.520 5.347
Er 2.733 2.408 3.867
Er 2.733 2.452 0.420
Er 0.000 -1.035 6.011
Pr 0.000 0.000 0.000
Tl 2.733 4.929 2.296
Tl 2.733 -0.114 5.437
! SG: Cmmm
! Formation energy from the elements in eV per atom: 0.364

=====

Record 5
! PmScTcRh (GGA-PBE, relaxed); values from VASP
&SYSTEM
  ibrav = 0, nat = 4, ntyp = 4
/
ATOMIC_SPECIES
Tc 98.00 Tc.upf
Rh 102.91 Rh.upf
Sc 44.96 Sc.upf
Pm 145.00 Pm.upf
CELL_PARAMETERS angstrom
-0.170 -2.495 -4.054
3.723 0.025 -2.970
2.671 -3.911 -0.504
ATOMIC_POSITIONS angstrom
Tc 1.556 -1.595 -1.882
Rh 4.668 -4.785 -5.646
Sc 0.000 0.000 0.000
Pm 3.112 -3.190 -3.764
! SG: F-43m
! Formation energy from the elements in eV per atom: -0.301

=====

Record 6
! BaCaNdCd (GGA-PBE, relaxed); values from VASP
&SYSTEM
  ibrav = 0, nat = 4, ntyp = 4
/
ATOMIC_SPECIES
Nd 144.24 Nd.upf
Cd 112.41 Cd.upf
Ba 137.33 Ba.upf
Ca 40.08 Ca.upf
CELL_PARAMETERS angstrom
5.940 0.000 0.000
2.970 5.144 0.000
2.970 1.715 4.850
ATOMIC_POSITIONS angstrom
Nd 5.940 3.429 2.425
Cd 8.910 5.144 3.637
Ba 0.000 0.000 0.000
Ca 2.970 1.715 1.212
! SG: F-43m
! Formation energy from the elements in eV per atom: 0.026

=====

Record 7
! ScCu2Pd2 (GGA-PBE, relaxed); values from VASP
&SYSTEM
  ibrav = 0, nat = 10, ntyp = 3
/
ATOMIC_SPECIES
Pd 106.42 Pd.upf
Cu 63.55 Cu.upf
Sc 44.96 Sc.upf
CELL_PARAMETERS angstrom
-1.303 -4.652 -4.999
-0.574 -4.997 4.799
-3.112 0.600 0.253
ATOMIC_POSITIONS angstrom
Pd -2.082 -2.085 -0.686
Pd -2.823 -5.188 -2.439
Pd -2.907 -6.963 0.739
Pd -2.166 -3.860 2.492
Cu -0.993 -6.124 2.325
Cu -0.885 -3.524 -2.524
Cu -0.378 -2.456 1.183
Cu -1.500 -7.193 -1.383
Sc 0.000 0.000 0.000
Sc -0.939 -4.824 -0.100
! SG: P4/mbm
! Formation energy from the elements in eV per atom: -0.369

=====

Record 8
! CdBi2S5 (GGA-PBE, relaxed); values from VASP
&SYSTEM
  ibrav = 0, nat = 16, ntyp = 3
/
ATOMIC_SPECIES
S 32.06 S.upf
Bi 208.98 Bi.upf
Cd 112.41 Cd.upf
CELL_PARAMETERS angstrom
-2.783 -2.056 -4.484
-2.644 -4.430 7.248
-8.457 7.790 1.677
ATOMIC_POSITIONS angstrom
S -8.156 3.390 3.508
S -10.953 4.484 1.165
S -5.728 -2.086 0.934
S -3.460 3.174 0.693
S -2.931 -3.179 3.276
S -0.780 0.705 0.161
S -13.104 0.600 4.281
S -6.469 0.080 3.978
S -10.423 -1.870 3.749
S -7.415 1.224 0.463
Bi -8.048 -1.257 1.994
Bi -4.559 -4.472 1.302
Bi -9.325 5.776 3.139
Bi -5.835 2.562 2.447
Cd -4.542 -1.337 3.432
Cd -9.341 2.641 1.010
! SG: Cmcm
! Raw formation energy in eV per atom: -0.166

=====

Number 1: DFT total energy -3.754 eV per atom. Number 2: DFT total energy -4.554 eV per atom. Number 3: DFT total energy -7.180 eV per atom. Number 4: DFT total energy -3.781 eV per atom. Number 5: DFT total energy -7.501 eV per atom. Number 6: DFT total energy -2.376 eV per atom. Number 7: DFT total energy -5.351 eV per atom. Number 8: DFT total energy -3.830 eV per atom.